--- a ---
This record from Alexandria via LeMat-Bulk describes PmGaAg after structural relaxation. The functional is PBE.

The structure in CIF format:
```
data_PmGaAg
_cell_length_a 3.421
_cell_length_b 3.421
_cell_length_c 11.319
_cell_angle_alpha 90.00
_cell_angle_beta 90.00
_cell_angle_gamma 90.00
_symmetry_space_group_name_H-M 'I 4 m m'
_symmetry_Int_Tables_number 107
_symmetry_space_group_name_Hall 'I 4 -2'
loop_
_atom_site_label
_atom_site_type_symbol
_atom_site_fract_x
_atom_site_fract_y
_atom_site_fract_z
Pm1 Pm 0.000 0.000 0.000
Ga1 Ga 0.000 0.000 0.319
Ag1 Ag 0.000 0.000 0.693
```

Properties
Volume (Å³ per atom): 22.1
Calculated density (g cm⁻³): 8.086

=====

--- b ---
This record from Alexandria via LeMat-Bulk describes PmGaAg after structural relaxation. The functional is PBE.

The structure in CIF format:
```
data_PmGaAg
_cell_length_a 4.6488
_cell_length_b 4.6488
_cell_length_c 3.6544
_cell_angle_alpha 90.00
_cell_angle_beta 90.00
_cell_angle_gamma 120.00
_symmetry_space_group_name_H-M 'P -6 m 2'
_symmetry_Int_Tables_number 187
_symmetry_space_group_name_Hall 'P -6 2'
loop_
_atom_site_label
_atom_site_type_symbol
_atom_site_fract_x
_atom_site_fract_y
_atom_site_fract_z
Pm1 Pm 0.0000 0.0000 0.0000
Ga1 Ga 0.3333 0.6667 0.5000
Ag1 Ag 0.6667 0.3333 0.5000
```

Properties
Volume (Å³ per atom): 22.8
Calculated density (g cm⁻³): 7.832

=====

The computed energies, referenced to the most stable structure and given in meV per atom, are a 197; b 0.

=====

--- a ---
This record from Alexandria via LeMat-Bulk describes PmGaAg after structural relaxation. The functional is PBE.

The structure in CIF format:
```
data_PmGaAg
_cell_length_a 5.392
_cell_length_b 11.541
_cell_length_c 9.057
_cell_angle_alpha 90.00
_cell_angle_beta 90.00
_cell_angle_gamma 90.00
_symmetry_space_group_name_H-M 'F d d 2'
_symmetry_Int_Tables_number 43
_symmetry_space_group_name_Hall 'F 2 -2d'
loop_
_atom_site_label
_atom_site_type_symbol
_atom_site_fract_x
_atom_site_fract_y
_atom_site_fract_z
Pm1 Pm 0.000 0.000 0.000
Ga1 Ga 0.000 0.000 0.336
Ag1 Ag 0.000 0.000 0.658
```

Properties
Volume (Å³ per atom): 23.5
Calculated density (g cm⁻³): 7.603

=====

--- b ---
This record from Alexandria via LeMat-Bulk describes PmGaAg after structural relaxation. The functional is PBE.

The structure in CIF format:
```
data_PmGaAg
_cell_length_a 4.646
_cell_length_b 7.419
_cell_length_c 7.968
_cell_angle_alpha 90.00
_cell_angle_beta 90.00
_cell_angle_gamma 90.00
_symmetry_space_group_name_H-M 'I m m m'
_symmetry_Int_Tables_number 71
_symmetry_space_group_name_Hall '-I 2 2'
loop_
_atom_site_label
_atom_site_type_symbol
_atom_site_fract_x
_atom_site_fract_y
_atom_site_fract_z
Pm1 Pm 0.000 0.241 0.000
Ga1 Ga 0.000 0.000 0.342
Ag1 Ag 0.000 0.500 0.324
```

Properties
Volume (Å³ per atom): 22.9
Calculated density (g cm⁻³): 7.802

=====

--- c ---
This record from Alexandria via LeMat-Bulk describes PmGaAg after structural relaxation. The functional is PBE.

The structure in CIF format:
```
data_PmGaAg
_cell_length_a 6.717
_cell_length_b 6.717
_cell_length_c 6.717
_cell_angle_alpha 90.00
_cell_angle_beta 90.00
_cell_angle_gamma 90.00
_symmetry_space_group_name_H-M 'F -4 3 m'
_symmetry_Int_Tables_number 216
_symmetry_space_group_name_Hall 'F -4 2 3'
loop_
_atom_site_label
_atom_site_type_symbol
_atom_site_fract_x
_atom_site_fract_y
_atom_site_fract_z
Pm1 Pm 0.000 0.000 0.000
Ga1 Ga 0.000 0.000 0.500
Ag1 Ag 0.250 0.250 0.750
```

Properties
Volume (Å³ per atom): 25.3
Calculated density (g cm⁻³): 7.070

=====

--- d ---
This record from Alexandria via LeMat-Bulk describes PmGaAg after structural relaxation. The functional is PBE.

The structure in CIF format:
```
data_PmGaAg
_cell_length_a 6.694
_cell_length_b 6.694
_cell_length_c 6.694
_cell_angle_alpha 90.00
_cell_angle_beta 90.00
_cell_angle_gamma 90.00
_symmetry_space_group_name_H-M 'F -4 3 m'
_symmetry_Int_Tables_number 216
_symmetry_space_group_name_Hall 'F -4 2 3'
loop_
_atom_site_label
_atom_site_type_symbol
_atom_site_fract_x
_atom_site_fract_y
_atom_site_fract_z
Pm1 Pm 0.000 0.000 0.000
Ga1 Ga 0.250 0.250 0.250
Ag1 Ag 0.000 0.000 0.500
```

Properties
Volume (Å³ per atom): 25.0
Calculated density (g cm⁻³): 7.142

=====

The computed energies, referenced to the most stable structure and given in meV per atom, are a 180; b 0; c 197; d 235.

=====

--- a ---
This record from Alexandria via LeMat-Bulk describes PmGa2Ag6 after structural relaxation. The functional is PBE.

The structure in CIF format:
```
data_PmGa2Ag6
_cell_length_a 4.273
_cell_length_b 4.273
_cell_length_c 9.569
_cell_angle_alpha 90.00
_cell_angle_beta 90.00
_cell_angle_gamma 90.00
_symmetry_space_group_name_H-M 'P 4/m m m'
_symmetry_Int_Tables_number 123
_symmetry_space_group_name_Hall '-P 4 2'
loop_
_atom_site_label
_atom_site_type_symbol
_atom_site_fract_x
_atom_site_fract_y
_atom_site_fract_z
Pm1 Pm 0.000 0.000 0.000
Ga1 Ga 0.500 0.500 0.127
Ag1 Ag 0.000 0.000 0.500
Ag2 Ag 0.000 0.500 0.289
Ag3 Ag 0.500 0.500 0.500
```

Properties
Volume (Å³ per atom): 19.4
Calculated density (g cm⁻³): 8.855

=====

--- b ---
This record from Alexandria via LeMat-Bulk describes PmGa2Ag6 after structural relaxation. The functional is PBE.

The structure in CIF format:
```
data_PmGa2Ag6
_cell_length_a 13.647
_cell_length_b 8.483
_cell_length_c 3.271
_cell_angle_alpha 90.00
_cell_angle_beta 103.80
_cell_angle_gamma 90.00
_symmetry_space_group_name_H-M 'C 1 2/m 1'
_symmetry_Int_Tables_number 12
loop_
_symmetry_equiv_pos_as_xyz
'x,y,z'
'-x,-y,-z'
'-x,y,-z'
'x,-y,z'
'x+1/2,y+1/2,z'
'-x+1/2,-y+1/2,-z'
'-x+1/2,y+1/2,-z'
'x+1/2,-y+1/2,z'
loop_
_atom_site_label
_atom_site_type_symbol
_atom_site_fract_x
_atom_site_fract_y
_atom_site_fract_z
Pm1 Pm 0.000 0.000 0.000
Ga1 Ga 0.144 0.500 0.137
Ag1 Ag 0.000 0.335 0.500
Ag2 Ag 0.180 0.167 0.681
```

Properties
Volume (Å³ per atom): 20.4
Calculated density (g cm⁻³): 8.415

=====

The computed energies, referenced to the most stable structure and given in meV per atom, are a 0; b 196.

=====

--- a ---
This record from Alexandria via LeMat-Bulk describes Pm3Ga2Ag3 after structural relaxation. The functional is PBE.

The structure in CIF format:
```
data_Pm3Ga2Ag3
_cell_length_a 8.282
_cell_length_b 15.985
_cell_length_c 5.726
_cell_angle_alpha 90.00
_cell_angle_beta 90.00
_cell_angle_gamma 90.00
_symmetry_space_group_name_H-M 'P n m a'
_symmetry_Int_Tables_number 62
loop_
_symmetry_equiv_pos_as_xyz
'x,y,z'
'-x,-y,-z'
'-x+1/2,-y,z+1/2'
'x+1/2,y,-z+1/2'
'x+1/2,-y+1/2,-z+1/2'
'-x+1/2,y+1/2,z+1/2'
'-x,y+1/2,-z'
'x,-y+1/2,z'
loop_
_atom_site_label
_atom_site_type_symbol
_atom_site_fract_x
_atom_site_fract_y
_atom_site_fract_z
Pm1 Pm 0.045 0.107 0.134
Pm2 Pm 0.176 0.250 0.639
Ga1 Ga 0.106 0.610 0.364
Ag1 Ag 0.175 0.750 0.637
Ag2 Ag 0.184 0.033 0.606
```

Properties
Volume (Å³ per atom): 23.7
Calculated density (g cm⁻³): 7.869

=====

--- b ---
This record from Alexandria via LeMat-Bulk describes Pm3Ga2Ag3 after structural relaxation. The functional is PBE.

The structure in CIF format:
```
data_Pm3Ga2Ag3
_cell_length_a 4.564
_cell_length_b 10.827
_cell_length_c 15.393
_cell_angle_alpha 90.00
_cell_angle_beta 90.00
_cell_angle_gamma 90.00
_symmetry_space_group_name_H-M 'C m c m'
_symmetry_Int_Tables_number 63
_symmetry_space_group_name_Hall '-C 2c 2'
loop_
_atom_site_label
_atom_site_type_symbol
_atom_site_fract_x
_atom_site_fract_y
_atom_site_fract_z
Pm1 Pm 0.000 0.093 0.103
Pm2 Pm 0.000 0.383 0.250
Ga1 Ga 0.000 0.201 0.605
Ag1 Ag 0.000 0.333 0.750
Ag2 Ag 0.000 0.382 0.041
```

Properties
Volume (Å³ per atom): 23.8
Calculated density (g cm⁻³): 7.841

=====

The computed energies, referenced to the most stable structure and given in meV per atom, are a 13; b 0.